1.
InBi2Au: relaxed, PBE.

Results
* density of states at the Fermi level: 0.552 states/eV/atom
* calculated formation energy: 0.134 eV/atom

Cell lengths 6.631, 6.631, 13.420 Å; angles 90.00, 90.00, 90.00 degrees
Space group I-42d (No. 122)
Asymmetric unit:
In 0.000 0.000 0.000 (multiplicity 4)
Bi 0.223 0.250 0.625 (multiplicity 8)
Au 0.000 0.000 0.500 (multiplicity 4)


2.
Si2AgOs: relaxed, PBE.

Results
* E above lowest polymorph: 500 meV/atom
* density of states at the Fermi level: 0.424 states/eV/atom
* formation energy from raw total energies: 531 meV per atom

Cell lengths 5.632, 5.632, 10.887 Å; angles 90.00, 90.00, 90.00 degrees
Space group I-42d (No. 122)
Asymmetric unit:
Si 0.212 0.250 0.125 (multiplicity 8)
Ag 0.000 0.000 0.500 (multiplicity 4)
Os 0.000 0.000 0.000 (multiplicity 4)


3.
Dy2HF: relaxed, PBE.

Results
* density of states at the Fermi level: 0.178 states/eV/atom
* raw total energy: -4.93 eV/atom

Cell lengths 3.5994, 3.5994, 21.6223 Å; angles 90.00, 90.00, 120.00 degrees
Space group R-3m (No. 166, hexagonal axes)
Asymmetric unit:
Dy 0.0000 0.0000 0.1010 (multiplicity 6)
H 0.0000 0.0000 0.5000 (multiplicity 3)
F 0.0000 0.0000 0.0000 (multiplicity 3)


4.
La3VP: relaxed, PBE.

Results
* E above lowest polymorph: 0 meV/atom
* density of states at the Fermi level: 1.711 states/eV/atom
* calculated formation energy: -0.029 eV/atom

Cell lengths 5.600, 5.600, 5.600 Å; angles 90.00, 90.00, 90.00 degrees
Space group Pm-3m (No. 221)
Asymmetric unit:
La 0.000 0.000 0.500 (multiplicity 3)
V 0.500 0.500 0.500 (multiplicity 1)
P 0.000 0.000 0.000 (multiplicity 1)


5.
Ba2TlO2F2: relaxed, PBE.

Results
* density of states at the Fermi level: 0.273 states/eV/atom
* formation energy from raw total energies: -2386 meV per atom

Cell lengths 4.621, 4.621, 14.087 Å; angles 90.00, 90.00, 90.00 degrees
Space group I4/mmm (No. 139)
Asymmetric unit:
Ba 0.000 0.000 0.125 (multiplicity 4)
Tl 0.000 0.000 0.500 (multiplicity 2)
O 0.000 0.500 0.000 (multiplicity 4)
F 0.000 0.000 0.305 (multiplicity 4)


6.
KPmNd2: relaxed, PBE.

Results
* density of states at the Fermi level: 1.223 states/eV/atom
* calculated formation energy: 0.194 eV/atom

Cell lengths 3.6875, 3.6875, 40.5626 Å; angles 90.00, 90.00, 120.00 degrees
Space group R-3m (No. 166, hexagonal axes)
Asymmetric unit:
K 0.0000 0.0000 0.0000 (multiplicity 3)
Pm 0.0000 0.0000 0.5000 (multiplicity 3)
Nd 0.0000 0.0000 0.0947 (multiplicity 6)


7.
Mg5Ag2Pb2: relaxed, PBE.

Results
* density of states at the Fermi level: 0.380 states/eV/atom
* calculated formation energy: -0.087 eV/atom

Cell lengths 15.336, 7.353, 7.502 Å; angles 90.00, 90.00, 90.00 degrees
Space group Cmce (No. 64)
Asymmetric unit:
Mg 0.000 0.000 0.000 (multiplicity 4)
Mg 0.118 0.163 0.335 (multiplicity 16)
Ag 0.000 0.135 0.634 (multiplicity 8)
Pb 0.217 0.000 0.000 (multiplicity 8)


8.
Dy2HgPd9: relaxed, PBE.

Results
* density of states at the Fermi level: 0.895 states/eV/atom
* calculated formation energy: -0.621 eV/atom

Cell lengths 4.087, 4.087, 12.400 Å; angles 90.00, 90.00, 90.00 degrees
Space group P4/mmm (No. 123)
Asymmetric unit:
Dy 0.000 0.000 0.170 (multiplicity 2)
Hg 0.000 0.000 0.500 (multiplicity 1)
Pd 0.000 0.500 0.000 (multiplicity 2)
Pd 0.000 0.500 0.335 (multiplicity 4)
Pd 0.500 0.500 0.166 (multiplicity 2)
Pd 0.500 0.500 0.500 (multiplicity 1)


9.
Cu3Si2: relaxed, PBE.

Results
* E above lowest polymorph: 12 meV/atom
* density of states at the Fermi level: 0.288 states/eV/atom
* formation energy from raw total energies: 53 meV per atom

Cell lengths 8.144, 23.958, 2.662 Å; angles 90.00, 90.00, 90.00 degrees
Space group Fdd2 (No. 43)
Asymmetric unit:
Cu 0.000 0.000 0.000 (multiplicity 8)
Cu 0.068 0.095 0.505 (multiplicity 16)
Si 0.040 0.196 0.745 (multiplicity 16)


10.
ReHg2: relaxed, PBE.

Results
* E above lowest polymorph: 330 meV/atom
* density of states at the Fermi level: 0.874 states/eV/atom
* calculated formation energy: 0.881 eV/atom

Cell lengths 2.882, 2.882, 28.085 Å; angles 90.00, 90.00, 90.00 degrees
Space group I4_1/amd (No. 141, origin choice 2)
Asymmetric unit:
Re 0.000 0.250 0.375 (multiplicity 4)
Hg 0.000 0.250 0.797 (multiplicity 8)


11.
CeTm2Te4: relaxed, PBE.

Results
* density of states at the Fermi level: 1.153 states/eV/atom
* formation energy from raw total energies: -1338 meV per atom

Cell lengths 4.308, 14.214, 14.849 Å; angles 90.00, 90.00, 90.00 degrees
Space group Cmcm (No. 63)
Asymmetric unit:
Ce 0.000 0.121 0.250 (multiplicity 4)
Tm 0.000 0.368 0.066 (multiplicity 8)
Te 0.000 0.000 0.000 (multiplicity 4)
Te 0.000 0.273 0.620 (multiplicity 8)
Te 0.000 0.454 0.250 (multiplicity 4)


12.
LiLaSe2: relaxed, PBE.

Results
* formation energy from raw total energies: -917 meV per atom

Cell lengths 7.139, 7.139, 7.139 Å; angles 90.00, 90.00, 90.00 degrees
Space group F-43m (No. 216)
Asymmetric unit:
Li 0.000 0.000 0.000 (multiplicity 4)
La 0.250 0.250 0.750 (multiplicity 4)
Se 0.000 0.000 0.500 (multiplicity 4)
Se 0.250 0.250 0.250 (multiplicity 4)


Number 1: size of the total moment 0.000 μB/f.u.. Number 2: size of the total moment 0.000 μB/f.u.. Number 3: size of the total moment 0.000 μB/f.u.. Number 4: size of the total moment 3.807 μB/f.u.. Number 5: size of the total moment 0.000 μB/f.u.. Number 6: size of the total moment 0.001 μB/f.u.. Number 7: size of the total moment 0.000 μB/f.u.. Number 8: size of the total moment 0.000 μB/f.u.. Number 9: size of the total moment 0.000 μB/f.u.. Number 10: size of the total moment 0.540 μB/f.u.. Number 11: size of the total moment 1.381 μB/f.u.. Number 12: size of the total moment 0.000 μB/f.u..